[1]
# Na2TeI4

Na2TeI4 after structural relaxation (GGA-PBE, Alexandria via LeMat-Bulk).

Summary:
Energy relative to the elements, uncorrected   -0.668 eV/atom
Crystal system   tetragonal
Total magnetic moment   0.00 μB/atom
Volume   285.79 Å³/cell

abc: 7.190 7.190 7.190
angles: 110.72 110.72 106.99
Atoms (fractional coordinates):
Na 0.250 0.750 0.500
Na 0.750 0.250 0.500
Te 0.000 0.000 0.000
I 0.253 0.739 0.000
I 0.261 0.261 0.514
I 0.739 0.253 0.000
I 0.747 0.747 0.486

=====

[2]
# Na2TeI5

Na2TeI5 after structural relaxation (GGA-PBE, Alexandria via LeMat-Bulk).

Summary:
Energy relative to the elements, uncorrected   -0.658 eV/atom
Crystal system   orthorhombic
Fermi-level density of states   0.17 states/eV per atom
Total magnetic moment   0.00 μB/atom
Volume   727.68 Å³/cell

abc: 8.391 8.391 14.378
angles: 90.00 90.00 134.04
Atoms (fractional coordinates):
Na 0.179 0.821 0.570
Na 0.179 0.821 0.930
Na 0.821 0.179 0.070
Na 0.821 0.179 0.430
Te 0.192 0.808 0.250
Te 0.808 0.192 0.750
I 0.057 0.943 0.108
I 0.057 0.943 0.392
I 0.299 0.701 0.750
I 0.328 0.672 0.094
I 0.328 0.672 0.406
I 0.672 0.328 0.594
I 0.672 0.328 0.906
I 0.701 0.299 0.250
I 0.943 0.057 0.608
I 0.943 0.057 0.892

=====

[3]
# Na2TeI8

Na2TeI8 after structural relaxation (GGA-PBE, Alexandria via LeMat-Bulk).

Summary:
Energy relative to the elements, uncorrected   -0.397 eV/atom
Crystal system   monoclinic
Fermi-level density of states   1.23 states/eV per atom
Total magnetic moment   0.00 μB/atom
Volume   549.87 Å³/cell

abc: 9.505 9.505 6.384
angles: 102.44 102.44 88.37
Atoms (fractional coordinates):
Na 0.227 0.227 0.111
Na 0.773 0.773 0.889
Te 0.500 0.500 0.000
I 0.006 0.006 0.253
I 0.245 0.570 0.202
I 0.294 0.294 0.657
I 0.430 0.755 0.798
I 0.570 0.245 0.202
I 0.706 0.706 0.343
I 0.755 0.430 0.798
I 0.994 0.994 0.747

=====

Q: Number 2 is which compound?
A: Na2TeI5

=====

Please write out number 2 again, unchanged.
# Na2TeI5

Na2TeI5 after structural relaxation (GGA-PBE, Alexandria via LeMat-Bulk).

Summary:
Energy relative to the elements, uncorrected   -0.658 eV/atom
Crystal system   orthorhombic
Fermi-level density of states   0.17 states/eV per atom
Total magnetic moment   0.00 μB/atom
Volume   727.68 Å³/cell

abc: 8.391 8.391 14.378
angles: 90.00 90.00 134.04
Atoms (fractional coordinates):
Na 0.179 0.821 0.570
Na 0.179 0.821 0.930
Na 0.821 0.179 0.070
Na 0.821 0.179 0.430
Te 0.192 0.808 0.250
Te 0.808 0.192 0.750
I 0.057 0.943 0.108
I 0.057 0.943 0.392
I 0.299 0.701 0.750
I 0.328 0.672 0.094
I 0.328 0.672 0.406
I 0.672 0.328 0.594
I 0.672 0.328 0.906
I 0.701 0.299 0.250
I 0.943 0.057 0.608
I 0.943 0.057 0.892

=====

Q: Among the records above, which one has the lowest volume?
A: Na2TeI4

=====

Q: Which of these has the highest volume?
A: Na2TeI5